VASP calculation (PBE+U) on crystalline HfMoAs2F at its relaxed geometry.

Cell lengths 5.0485, 5.0485, 3.9277 Å; angles 90.00, 90.00, 90.00 degrees
Fractional positions:
Hf1 0.0000 0.0000 0.0000
Mo1 0.5000 0.5000 0.0000
As1 0.0000 0.5000 0.5000
As2 0.5000 0.0000 0.5000
F1 0.0000 0.0000 0.5000

DFT total energy = -5.67 eV per atom
size of the total moment = 3.73 μB per cell